Crystalline P2Br at its relaxed geometry. Source: Alexandria, functional PBE.

**Energy relative to the lowest polymorph listed for this composition**: 451 meV per atom
**Volume**: 43.94 Å³/atom

Lattice parameters (Å, degrees): 5.7646 6.2397 7.3292 90.00 90.00 90.00
Sites, in units of the cell vectors:
P: 0.5839 0.0000 0.1171
P: 0.4161 0.0000 0.8829
P: 0.9161 0.5000 0.6171
P: 0.0839 0.5000 0.3829
Br: 0.0000 0.0000 0.0000
Br: 0.5000 0.5000 0.5000

=====

Crystalline Pm9Nd11Ho4 at its relaxed geometry. Source: Alexandria, functional PBE.

**ΔH_f (0 K)**: 0.055 eV/atom
**Volume**: 34.62 Å³/atom

Lattice parameters (Å, degrees): 3.6938 15.6898 15.6898 113.99 90.00 90.00
Sites, in units of the cell vectors:
Pm: 0.5000 0.6272 0.1660
Pm: 0.5000 0.3728 0.8340
Pm: 0.5000 0.1660 0.6272
Pm: 0.5000 0.8340 0.3728
Pm: 0.5000 0.7875 0.9373
Pm: 0.5000 0.2125 0.0627
Pm: 0.5000 0.9373 0.7875
Pm: 0.5000 0.0627 0.2125
Pm: 0.5000 0.5000 0.5000
Nd: 0.0000 0.5977 0.9589
Nd: 0.0000 0.4023 0.0411
Nd: 0.0000 0.9589 0.5977
Nd: 0.0000 0.0411 0.4023
Nd: 0.0000 0.6299 0.3701
Nd: 0.0000 0.3701 0.6299
Nd: 0.0000 0.8359 0.1641
Nd: 0.0000 0.1641 0.8359
Nd: 0.0000 0.0000 0.0000
Nd: 0.0000 0.7107 0.7107
Nd: 0.0000 0.2893 0.2893
Ho: 0.5000 0.5579 0.7606
Ho: 0.5000 0.4421 0.2394
Ho: 0.5000 0.7606 0.5579
Ho: 0.5000 0.2394 0.4421

=====

Crystalline PuHfPb2 at its relaxed geometry. Source: Alexandria, functional PBE.

**Energy relative to the lowest polymorph listed for this composition**: 62 meV per atom
**ΔH_f (0 K)**: 0.088 eV/atom
**Volume**: 25.94 Å³/atom

Lattice parameters (Å, degrees): 5.2747 5.2747 5.2747 60.00 60.00 60.00
Sites, in units of the cell vectors:
Pb: 0.2500 0.2500 0.2500
Pb: 0.7500 0.7500 0.7500
Hf: 0.5000 0.5000 0.5000
Pu: 0.0000 0.0000 0.0000

=====

Crystalline NaAcRuO4 at its relaxed geometry. Source: Alexandria, functional PBE.

**Raw total energy**: -47.4 eV per formula unit
**Volume**: 16.86 Å³/atom

Lattice parameters (Å, degrees): 6.5177 6.8804 7.8262 124.66 90.00 118.27
Sites, in units of the cell vectors:
Na: 0.8981 0.7962 0.1481
Na: 0.1019 0.2038 0.8519
Ac: 0.5000 0.0000 0.5000
Ac: 0.5000 0.0000 0.0000
Ru: 0.5000 0.5000 0.5000
Ru: 0.0000 0.5000 0.5000
O: 0.7596 0.5192 0.6788
O: 0.3069 0.0660 0.2830
O: 0.7591 0.0660 0.2830
O: 0.7596 0.5192 0.3404
O: 0.2404 0.4808 0.6596
O: 0.6931 0.9340 0.7170
O: 0.2409 0.9340 0.7170
O: 0.2404 0.4808 0.3212

=====

Crystalline LaTl3V at its relaxed geometry. Source: Alexandria, functional PBE.

**Energy relative to the lowest polymorph listed for this composition**: 1071 meV per atom
**ΔH_f (0 K)**: 1.216 eV/atom
**Volume**: 44.71 Å³/atom

Lattice parameters (Å, degrees): 6.0692 6.0692 6.0692 90.00 90.00 90.00
Sites, in units of the cell vectors:
Tl: 0.0000 0.5000 0.0000
Tl: 0.0000 0.0000 0.5000
Tl: 0.5000 0.0000 0.0000
La: 0.0000 0.0000 0.0000
V: 0.5000 0.5000 0.5000

=====

Crystalline FeMoHBr2 at its relaxed geometry. Source: Alexandria, functional PBE.

**Raw total energy**: -20.0 eV per formula unit
**Volume**: 22.08 Å³/atom

Lattice parameters (Å, degrees): 4.8668 4.6609 4.8668 90.00 90.00 90.00
Sites, in units of the cell vectors:
H: 0.5000 0.5000 0.5000
Mo: 0.0000 0.5000 0.0000
Fe: 0.0000 0.0000 0.0000
Br: 0.0000 0.0000 0.5000
Br: 0.5000 0.0000 0.0000

=====

Crystalline TaReRu2 at its relaxed geometry. Source: Alexandria, functional PBE.

**Energy relative to the lowest polymorph listed for this composition**: 289 meV per atom
**ΔH_f (0 K)**: 0.179 eV/atom
**Volume**: 15.44 Å³/atom

Lattice parameters (Å, degrees): 4.4365 4.4365 4.4365 60.00 60.00 60.00
Sites, in units of the cell vectors:
Re: 0.5000 0.5000 0.5000
Ru: 0.2500 0.2500 0.2500
Ru: 0.7500 0.7500 0.7500
Ta: 0.0000 0.0000 0.0000

=====

Crystalline Pu6ReRh5 at its relaxed geometry. Source: Alexandria, functional PBE.

**ΔH_f (0 K)**: -0.300 eV/atom
**Volume**: 19.90 Å³/atom

Lattice parameters (Å, degrees): 4.9242 6.5764 7.7755 90.00 71.54 90.00
Sites, in units of the cell vectors:
Re: 0.0000 0.0000 0.0000
Rh: 0.6683 0.5000 0.6634
Rh: 0.3356 0.0000 0.3287
Rh: 0.0000 0.5000 0.0000
Rh: 0.6644 0.0000 0.6713
Rh: 0.3317 0.5000 0.3366
Pu: 0.8338 0.7503 0.3325
Pu: 0.8338 0.2497 0.3325
Pu: 0.5000 0.2520 0.0000
Pu: 0.5000 0.7480 0.0000
Pu: 0.1662 0.7503 0.6675
Pu: 0.1662 0.2497 0.6675